[1]
A relaxed Mg2FeSb crystal. Source: Alexandria, functional PBE.

Cell and atoms, written as POSCAR:
```
Mg2FeSb
1.0
3.329 0.000 0.000
0.000 3.329 0.000
0.000 0.000 7.069
Mg Fe Sb
2 1 1
direct
0.000 0.000 0.000
0.500 0.500 0.292
0.500 0.500 0.768
0.000 0.000 0.589
```

N(E_F): 3.6 states/eV/cell
final energy: -3.833 eV per atom
E above lowest polymorph: 0.13 eV per formula unit


[2]
A relaxed Mg2FeSb crystal. Source: Alexandria, functional PBE.

Cell and atoms, written as POSCAR:
```
Mg2FeSb
1.0
0.000 3.407 3.407
3.407 0.000 3.407
3.407 3.407 0.000
Mg Fe Sb
2 1 1
direct
0.250 0.250 0.250
0.750 0.750 0.750
0.000 0.000 0.000
0.500 0.500 0.500
```

N(E_F): 5.0 states/eV/cell
final energy: -3.690 eV per atom
E above lowest polymorph: 0.70 eV per formula unit


[3]
A relaxed MgFe2Sb crystal. Source: Alexandria, functional PBE.

Cell and atoms, written as POSCAR:
```
MgFe2Sb
1.0
-2.003 2.003 3.937
2.003 -2.003 3.937
2.003 2.003 -3.937
Mg Fe Sb
1 2 1
direct
0.000 0.000 0.000
0.250 0.750 0.500
0.750 0.250 0.500
0.500 0.500 0.000
```

N(E_F): 3.9 states/eV/cell
final energy: -5.475 eV per atom


[4]
A relaxed Mg2Fe2Sb crystal. Source: Alexandria, functional PBE.

Cell and atoms, written as POSCAR:
```
Mg2Fe2Sb
1.0
6.250 0.000 0.000
0.000 6.250 0.000
0.000 0.000 4.320
Mg Fe Sb
4 4 2
direct
0.164 0.336 0.000
0.336 0.836 0.000
0.664 0.164 0.000
0.836 0.664 0.000
0.124 0.624 0.500
0.376 0.124 0.500
0.624 0.876 0.500
0.876 0.376 0.500
0.000 0.000 0.500
0.500 0.500 0.500
```

N(E_F): 4.3 states/eV/cell
final energy: -4.738 eV per atom


[5]
A relaxed Mg2FeSb crystal. Source: Alexandria, functional PBE.

Cell and atoms, written as POSCAR:
```
Mg2FeSb
1.0
-2.057 2.057 9.957
2.057 -2.057 9.957
2.057 2.057 -9.957
Mg Fe Sb
4 2 2
direct
0.106 0.625 0.981
0.375 0.356 0.481
0.644 0.125 0.019
0.875 0.894 0.519
0.000 0.000 0.000
0.750 0.250 0.500
0.250 0.750 0.500
0.500 0.500 0.000
```

N(E_F): 9.6 states/eV/cell
final energy: -3.604 eV per atom
E above lowest polymorph: 1.04 eV per formula unit


[6]
A relaxed Mg2FeSb crystal. Source: Alexandria, functional PBE.

Cell and atoms, written as POSCAR:
```
Mg2FeSb
1.0
1.607 0.928 9.096
-1.607 0.928 9.096
0.000 -1.855 9.096
Mg Fe Sb
2 1 1
direct
0.242 0.242 0.242
0.758 0.758 0.758
0.500 0.500 0.500
0.000 0.000 0.000
```

N(E_F): 1.7 states/eV/cell
final energy: -3.715 eV per atom
E above lowest polymorph: 0.60 eV per formula unit


[7]
A relaxed MgFe2Sb crystal. Source: Alexandria, functional PBE.

Cell and atoms, written as POSCAR:
```
MgFe2Sb
1.0
0.000 3.149 3.149
3.149 0.000 3.149
3.149 3.149 0.000
Mg Fe Sb
1 2 1
direct
0.000 0.000 0.000
0.500 0.500 0.500
0.750 0.750 0.750
0.250 0.250 0.250
```

N(E_F): 1.8 states/eV/cell
final energy: -5.425 eV per atom


[8]
A relaxed Mg2FeSb crystal. Source: Alexandria, functional PBE.

Cell and atoms, written as POSCAR:
```
Mg2FeSb
1.0
0.000 3.278 3.278
3.278 0.000 3.278
3.278 3.278 0.000
Mg Fe Sb
2 1 1
direct
0.000 0.000 0.000
0.250 0.250 0.250
0.750 0.750 0.750
0.500 0.500 0.500
```

N(E_F): 3.6 states/eV/cell
final energy: -3.703 eV per atom
E above lowest polymorph: 0.65 eV per formula unit


[9]
A relaxed MgFeSb6 crystal. Source: Alexandria, functional PBE.

Cell and atoms, written as POSCAR:
```
MgFeSb6
1.0
6.699 -4.632 0.000
6.699 4.632 0.000
-6.675 0.000 7.084
Mg Fe Sb
2 2 12
direct
0.000 0.500 0.000
0.500 0.000 0.000
0.000 0.500 0.500
0.500 0.000 0.500
0.010 0.687 0.367
0.132 0.815 0.823
0.185 0.868 0.177
0.313 0.990 0.633
0.346 0.346 0.528
0.358 0.358 0.236
0.642 0.642 0.764
0.654 0.654 0.472
0.687 0.010 0.367
0.815 0.132 0.823
0.868 0.185 0.177
0.990 0.313 0.633
```

N(E_F): 8.9 states/eV/cell
final energy: -4.353 eV per atom


[10]
A relaxed MgFe2Sb crystal. Source: Alexandria, functional PBE.

Cell and atoms, written as POSCAR:
```
MgFe2Sb
1.0
1.557 0.899 8.472
-1.557 0.899 8.472
0.000 -1.798 8.472
Mg Fe Sb
1 2 1
direct
0.000 0.000 0.000
0.250 0.250 0.250
0.520 0.520 0.520
0.775 0.775 0.775
```

N(E_F): 3.9 states/eV/cell
final energy: -5.349 eV per atom


[11]
A relaxed Mg2FeSb crystal. Source: Alexandria, functional PBE.

Cell and atoms, written as POSCAR:
```
Mg2FeSb
1.0
3.073 0.000 0.000
0.000 3.073 0.000
0.000 0.000 8.483
Mg Fe Sb
2 1 1
direct
0.000 0.000 0.203
0.000 0.000 0.797
0.500 0.500 0.000
0.500 0.500 0.500
```

N(E_F): 2.1 states/eV/cell
final energy: -3.803 eV per atom
E above lowest polymorph: 0.25 eV per formula unit


[12]
A relaxed MgFeSb crystal. Source: Alexandria, functional PBE.

Cell and atoms, written as POSCAR:
```
MgFeSb
1.0
3.199 0.000 0.000
0.000 2.815 6.484
0.000 -2.815 6.484
Mg Fe Sb
2 2 2
direct
0.000 0.000 0.000
0.000 0.292 0.292
0.500 0.366 0.925
0.500 0.925 0.366
0.000 0.529 0.529
0.500 0.806 0.806
```

N(E_F): 6.6 states/eV/cell
final energy: -4.679 eV per atom


[13]
A relaxed MgFe4Sb12 crystal. Source: Alexandria, functional PBE.

Cell and atoms, written as POSCAR:
```
MgFe4Sb12
1.0
-4.602 4.602 4.602
4.602 -4.602 4.602
4.602 4.602 -4.602
Mg Fe Sb
1 4 12
direct
0.000 0.000 0.000
0.000 0.000 0.500
0.000 0.500 0.000
0.500 0.000 0.000
0.500 0.500 0.500
0.160 0.331 0.491
0.160 0.669 0.829
0.171 0.840 0.331
0.331 0.171 0.840
0.331 0.491 0.160
0.491 0.160 0.331
0.509 0.840 0.669
0.669 0.509 0.840
0.669 0.829 0.160
0.829 0.160 0.669
0.840 0.331 0.171
0.840 0.669 0.509
```

N(E_F): 14.7 states/eV/cell
final energy: -5.026 eV per atom


[14]
A relaxed MgFe2Sb crystal. Source: Alexandria, functional PBE.

Cell and atoms, written as POSCAR:
```
MgFe2Sb
1.0
4.013 0.000 0.000
0.000 4.013 0.000
0.000 0.000 3.957
Mg Fe Sb
1 2 1
direct
0.000 0.000 0.000
0.000 0.500 0.500
0.500 0.000 0.500
0.500 0.500 0.000
```

N(E_F): 4.0 states/eV/cell
final energy: -5.490 eV per atom


[15]
A relaxed Mg6FeSb crystal. Source: Alexandria, functional PBE.

Cell and atoms, written as POSCAR:
```
Mg6FeSb
1.0
4.893 0.000 0.000
0.000 3.150 5.379
0.000 -3.150 5.379
Mg Fe Sb
6 1 1
direct
0.000 0.000 0.000
0.000 0.019 0.494
0.000 0.494 0.019
0.500 0.329 0.846
0.500 0.833 0.833
0.500 0.846 0.329
0.500 0.326 0.326
0.000 0.495 0.495
```

N(E_F): 6.0 states/eV/cell
final energy: -2.694 eV per atom
E above lowest polymorph: 0.00 eV per formula unit


[16]
A relaxed MgFe2Sb2 crystal. Source: Alexandria, functional PBE.

Cell and atoms, written as POSCAR:
```
MgFe2Sb2
1.0
-2.126 2.126 5.351
2.126 -2.126 5.351
2.126 2.126 -5.351
Mg Fe Sb
1 2 2
direct
0.000 0.000 0.000
0.250 0.750 0.500
0.750 0.250 0.500
0.367 0.367 0.000
0.633 0.633 0.000
```

N(E_F): 3.4 states/eV/cell
final energy: -5.122 eV per atom
E above lowest polymorph: 0.40 eV per formula unit


[17]
A relaxed MgFe2Sb crystal. Source: Alexandria, functional PBE.

Cell and atoms, written as POSCAR:
```
MgFe2Sb
1.0
3.196 0.000 0.000
0.000 3.196 0.000
0.000 0.000 6.661
Mg Fe Sb
1 2 1
direct
0.000 0.000 0.000
0.000 0.000 0.586
0.500 0.500 0.759
0.500 0.500 0.350
```

N(E_F): 3.7 states/eV/cell
final energy: -5.522 eV per atom


[18]
A relaxed MgFeSb crystal. Source: Alexandria, functional PBE.

Cell and atoms, written as POSCAR:
```
MgFeSb
1.0
2.219 1.281 6.867
-2.219 1.281 6.867
0.000 -2.562 6.867
Mg Fe Sb
2 2 2
direct
0.230 0.230 0.230
0.770 0.770 0.770
0.358 0.358 0.358
0.642 0.642 0.642
0.000 0.000 0.000
0.500 0.500 0.500
```

N(E_F): 4.9 states/eV/cell
final energy: -4.800 eV per atom


[19]
A relaxed MgFeSb crystal. Source: Alexandria, functional PBE.

Cell and atoms, written as POSCAR:
```
MgFeSb
1.0
3.227 0.000 0.000
-1.613 2.795 0.000
0.000 0.000 6.462
Mg Fe Sb
1 1 1
direct
0.000 0.000 0.000
0.333 0.667 0.692
0.667 0.333 0.415
```

N(E_F): 1.4 states/eV/cell
final energy: -4.520 eV per atom


[20]
A relaxed MgFeSb crystal. Source: Alexandria, functional PBE.

Cell and atoms, written as POSCAR:
```
MgFeSb
1.0
-1.677 1.677 4.679
1.677 -1.677 4.679
1.677 1.677 -4.679
Mg Fe Sb
1 1 1
direct
0.000 0.000 0.000
0.676 0.676 0.000
0.301 0.301 0.000
```

N(E_F): 0.7 states/eV/cell
final energy: -4.627 eV per atom